DFT (PBE) results for Tb2Pm3NdBi6 after structural relaxation.

Properties
Theoretical density ... 8.91 g/cm3
DFT formation energy ... -920 meV/atom
Space group ... No. 12
Total DFT energy (no corrections) ... -62.61 eV/cell

a b c (Å): 4.5565 9.1097 10.1825
angles (deg): 102.88 102.93 90.00
Last column: nearest neighbours and their distance in Å.
Sites, in units of the cell vectors:
Bi: 0.3324 0.9125 0.6649  2 Tb 3.20, 3 Pm 3.22-3.25, 1 Nd 3.24
Tb: 0.1672 0.3336 0.3344  6 Bi 3.19-3.20
Bi: 0.3321 0.4202 0.6643  3 Tb 3.19-3.20, 3 Pm 3.24-3.25
Pm: 0.8342 0.1675 0.6685  6 Bi 3.22-3.25
Bi: 0.6679 0.5798 0.3357  3 Tb 3.19-3.20, 3 Pm 3.24-3.25
Bi: 0.0019 0.2523 0.0037  1 Tb 3.20, 3 Pm 3.21-3.24, 2 Nd 3.23
Pm: 0.1658 0.8325 0.3315  6 Bi 3.22-3.25
Nd: 0.5000 0.0000 0.0000  6 Bi 3.23-3.24
Bi: 0.9981 0.7477 0.9963  1 Tb 3.20, 3 Pm 3.21-3.24, 2 Nd 3.23
Pm: 0.5000 0.5000 0.0000  6 Bi 3.21-3.24
Bi: 0.6676 0.0875 0.3351  2 Tb 3.20, 3 Pm 3.22-3.25, 1 Nd 3.24
Tb: 0.8328 0.6664 0.6656  6 Bi 3.19-3.20

---

DFT (PBE) results for Dy5ZnSe4 after structural relaxation.

Properties
Theoretical density ... 8.18 g/cm3
Formation energy (no corrections) ... -1.4942 eV/atom
Space group ... No. 87
Total DFT energy (no corrections) ... -53.16 eV/cell

a b c (Å): 5.7827 7.0910 7.0910
angles (deg): 80.43 65.94 65.94
Last column: nearest neighbours and their distance in Å.
Sites, in units of the cell vectors:
Se: 0.5979 0.6000 0.2061  6 Dy 2.88-2.93
Dy: 0.9023 0.3935 0.8038  1 Zn 2.85, 5 Se 2.88-2.93
Dy: 0.7062 0.1962 0.3935  1 Zn 2.85, 5 Se 2.88-2.93
Dy: 0.5012 0.0000 0.0000  2 Zn 2.89, 4 Se 2.91
Se: 0.8041 0.7939 0.6000  6 Dy 2.88-2.93
Dy: 0.0997 0.6065 0.1962  1 Zn 2.85, 5 Se 2.88-2.93
Zn: 0.0012 0.0000 0.0000  6 Dy 2.85-2.89
Se: 0.4040 0.4000 0.7939  6 Dy 2.88-2.93
Se: 0.1979 0.2061 0.4000  6 Dy 2.88-2.93
Dy: 0.2958 0.8038 0.6065  1 Zn 2.85, 5 Se 2.88-2.93

---

DFT (PBE) results for Ce2DyAl after structural relaxation.

Properties
E above lowest polymorph ... 12 kJ/mol of formula units
Theoretical density ... 7.55 g/cm3
DFT formation energy ... -151 meV/atom
Space group ... No. 123
Total DFT energy (no corrections) ... -20.81 eV/cell

a b c (Å): 5.0120 4.5398 4.5398
angles (deg): 90.00 90.00 90.00
Last column: nearest neighbours and their distance in Å.
Sites, in units of the cell vectors:
Dy: 0.5000 0.5000 0.5000  4 Al 3.21, 8 Ce 3.38
Ce: 0.0000 0.5000 0.0000  4 Ce 3.21, 4 Al 3.38, 4 Dy 3.38
Ce: 0.0000 0.0000 0.5000  4 Ce 3.21, 4 Dy 3.38, 4 Al 3.38
Al: 0.5000 0.0000 0.0000  4 Dy 3.21, 8 Ce 3.38